Below is an optimized crystal structure of LiTm2Sc, with properties calculated at the PBE level.

Total moment: 0.0 μB per cell
Polymorph energy (0 for the lowest one): 0.0746 eV per atom
Energy: -4.134 eV per atom
Energy of formation: 15.8 kJ/mol of atoms
SG: Fm-3m (225)

a = 5.273 Å, b = 5.273 Å, c = 5.273 Å
α = 60.00°, β = 60.00°, γ = 60.00°
Atoms (fractional coordinates):
Li 0.000 0.000 0.000
Tm 0.250 0.250 0.250
Tm 0.750 0.750 0.750
Sc 0.500 0.500 0.500